{"formula": "CoOs3Cl", "functional": "PBE", "state": "optimized geometry", "dos_at_fermi_per_ev_atom": 1.06, "total_energy_ev_per_atom": -6.45, "formation_energy_uncorrected_ev_per_atom": 2.0812, "sg": "Pm-3m (221)", "lattice_angstrom": [[-0.428, 2.031, -3.780], [2.539, -2.943, -1.868], [-3.459, -2.411, -0.904]], "species": ["Co", "Os", "Os", "Os", "Cl"], "fractional_positions": [[0.500, 0.500, 0.500], [0.000, 0.500, 0.000], [0.000, 0.000, 0.500], [0.500, 0.000, 0.000], [0.000, 0.000, 0.000]]}

{"formula": "NbSn2Pd", "functional": "PBE", "state": "optimized geometry", "dos_at_fermi_per_ev_atom": 0.90, "total_energy_ev_per_atom": -5.67, "sg": "R-3m (166)", "lattice_angstrom": [[3.135, 0.000, 0.000], [1.568, 2.715, 0.000], [1.568, 0.905, 10.008]], "species": ["Nb", "Sn", "Sn", "Pd"], "fractional_positions": [[0.000, 0.000, 0.000], [0.095, 0.095, 0.714], [0.905, 0.905, 0.286], [0.500, 0.500, 0.500]]}